Entry 1:
Below is crystalline Sc3MnPd12 at its relaxed geometry, with properties calculated at the PBE level.

Cell: 3.988 3.988 15.936 Å, 90.00 90.00 90.00°
Element x y z (fractional)
Pd (0.500, 0.500, 0.247)
Pd (0.000, 0.500, 0.374)
Pd (0.500, 0.000, 0.626)
Pd (0.500, 0.000, 0.374)
Mn (0.000, 0.000, 0.000)
Sc (0.000, 0.000, 0.247)
Pd (0.000, 0.500, 0.879)
Sc (0.000, 0.000, 0.500)
Sc (0.000, 0.000, 0.753)
Pd (0.500, 0.000, 0.879)
Pd (0.500, 0.500, 0.753)
Pd (0.000, 0.500, 0.626)
Pd (0.500, 0.500, 0.500)
Pd (0.500, 0.000, 0.121)
Pd (0.000, 0.500, 0.121)
Pd (0.500, 0.500, 0.000)

Computed properties:
Symmetry: P4/mmm
Formation energy from the elements in eV/atom: -0.68
V in Å³/f.u.: 253


Entry 2:
Below is crystalline ScMnPd2 at its relaxed geometry, with properties calculated at the PBE level.

Cell: 4.018 4.018 9.287 Å, 77.51 77.51 90.00°
Element x y z (fractional)
Sc (0.250, 0.750, 0.500)
Pd (0.875, 0.886, 0.750)
Pd (0.114, 0.625, 0.250)
Pd (0.636, 0.125, 0.250)
Mn (0.750, 0.250, 0.500)
Mn (0.000, 0.000, 0.000)
Sc (0.500, 0.500, 0.000)
Pd (0.375, 0.364, 0.750)

Computed properties:
Symmetry: I-42d
Formation energy from the elements in eV/atom: -0.11
V in Å³/f.u.: 71


Entry 3:
Below is crystalline ScMn2Pd8 at its relaxed geometry, with properties calculated at the PBE level.

Cell: 4.032 6.281 7.335 Å, 105.84 105.96 90.00°
Element x y z (fractional)
Sc (0.500, 0.000, 0.000)
Pd (0.857, 0.804, 0.714)
Pd (0.143, 0.196, 0.286)
Pd (0.956, 0.274, 0.912)
Pd (0.598, 0.461, 0.196)
Pd (0.402, 0.539, 0.804)
Pd (0.319, 0.083, 0.638)
Mn (0.776, 0.349, 0.551)
Pd (0.044, 0.726, 0.088)
Pd (0.681, 0.917, 0.362)
Mn (0.224, 0.651, 0.449)

Computed properties:
Symmetry: C2/m
Formation energy from the elements in eV/atom: -0.42
Energy relative to the lowest polymorph listed for this composition in meV per atom: 0.0
V in Å³/f.u.: 171


Entry 4:
Below is crystalline ScMnPd14 at its relaxed geometry, with properties calculated at the PBE level.

Cell: 5.596 5.596 7.919 Å, 90.00 90.00 90.00°
Element x y z (fractional)
Pd (0.375, 0.875, 0.000)
Pd (0.375, 0.875, 0.500)
Mn (0.375, 0.375, 0.500)
Pd (0.126, 0.126, 0.747)
Pd (0.624, 0.624, 0.253)
Pd (0.126, 0.624, 0.747)
Pd (0.126, 0.126, 0.253)
Pd (0.875, 0.375, 0.000)
Sc (0.875, 0.875, 0.500)
Pd (0.875, 0.375, 0.500)
Pd (0.126, 0.624, 0.253)
Pd (0.375, 0.375, 0.000)
Pd (0.875, 0.875, 0.000)
Pd (0.624, 0.126, 0.747)
Pd (0.624, 0.624, 0.747)
Pd (0.624, 0.126, 0.253)

Computed properties:
Symmetry: P4/mmm
Formation energy from the elements in eV/atom: -0.26
V in Å³/f.u.: 248


Entry 5:
Below is crystalline Sc2MnPd9 at its relaxed geometry, with properties calculated at the PBE level.

Cell: 3.978 3.978 11.953 Å, 90.00 90.00 90.00°
Element x y z (fractional)
Sc (0.000, 0.000, 0.670)
Pd (0.500, 0.000, 0.500)
Pd (0.500, 0.500, 0.000)
Pd (0.500, 0.500, 0.669)
Pd (0.500, 0.500, 0.331)
Sc (0.000, 0.000, 0.330)
Pd (0.500, 0.000, 0.162)
Mn (0.000, 0.000, 0.000)
Pd (0.000, 0.500, 0.500)
Pd (0.000, 0.500, 0.162)
Pd (0.000, 0.500, 0.838)
Pd (0.500, 0.000, 0.838)

Computed properties:
Symmetry: P4/mmm
Formation energy from the elements in eV/atom: -0.63
V in Å³/f.u.: 189


Entry 6:
Below is crystalline ScTaMnPd2 at its relaxed geometry, with properties calculated at the PBE level.

Cell: 4.532 4.979 4.532 Å, 90.00 90.00 90.00°
Element x y z (fractional)
Pd (0.000, 0.000, 0.500)
Ta (0.000, 0.500, 0.000)
Sc (0.000, 0.000, 0.000)
Mn (0.500, 0.500, 0.500)
Pd (0.500, 0.000, 0.000)

Computed properties:
Symmetry: P4/mmm
Formation energy from the elements in eV/atom: 1.53
V in Å³/f.u.: 102


Entry 7:
Below is crystalline ScTa2MnPd at its relaxed geometry, with properties calculated at the PBE level.

Cell: 4.496 4.863 4.496 Å, 90.00 90.00 90.00°
Element x y z (fractional)
Ta (0.000, 0.000, 0.500)
Mn (0.000, 0.000, 0.000)
Ta (0.500, 0.000, 0.000)
Sc (0.500, 0.500, 0.500)
Pd (0.000, 0.500, 0.000)

Computed properties:
Symmetry: P4/mmm
Formation energy from the elements in eV/atom: 0.54
V in Å³/f.u.: 98


Entry 8:
Below is crystalline ScMnPdW2 at its relaxed geometry, with properties calculated at the PBE level.

Cell: 4.436 4.769 4.436 Å, 90.00 90.00 90.00°
Element x y z (fractional)
Mn (0.000, 0.000, 0.000)
W (0.000, 0.000, 0.500)
Sc (0.500, 0.500, 0.500)
W (0.500, 0.000, 0.000)
Pd (0.000, 0.500, 0.000)

Computed properties:
Symmetry: P4/mmm
Formation energy from the elements in eV/atom: 0.86
V in Å³/f.u.: 94


Entry 9:
Below is crystalline MnPd4Se8 at its relaxed geometry, with properties calculated at the PBE level.

Cell: 7.313 7.313 7.313 Å, 62.10 62.10 62.10°
Element x y z (fractional)
Se (0.748, 0.748, 0.270)
Se (0.270, 0.748, 0.748)
Se (0.730, 0.252, 0.252)
Se (0.742, 0.742, 0.742)
Pd (0.000, 0.500, 0.500)
Pd (0.000, 0.000, 0.000)
Se (0.252, 0.730, 0.252)
Mn (0.500, 0.500, 0.500)
Se (0.258, 0.258, 0.258)
Se (0.252, 0.252, 0.730)
Pd (0.500, 0.000, 0.500)
Pd (0.500, 0.500, 0.000)
Se (0.748, 0.270, 0.748)

Computed properties:
Symmetry: R-3m
V in Å³/f.u.: 290
Formation energy from raw total energies in eV/atom: -0.25


Entry 10:
Below is crystalline Mn2PdSe4 at its relaxed geometry, with properties calculated at the PBE level.

Cell: 7.438 7.437 12.878 Å, 106.77 90.00 120.01°
Element x y z (fractional)
Se (0.641, 0.239, 0.880)
Se (0.902, 0.761, 0.120)
Mn (0.000, 0.000, 0.000)
Mn (0.750, 0.000, 0.750)
Se (0.141, 0.239, 0.380)
Se (0.402, 0.761, 0.620)
Mn (0.000, 0.000, 0.500)
Se (0.098, 0.239, 0.880)
Se (0.359, 0.218, 0.120)
Pd (0.563, 0.625, 0.188)
Pd (0.938, 0.375, 0.312)
Se (0.598, 0.239, 0.380)
Mn (0.500, 0.000, 0.500)
Pd (0.437, 0.375, 0.812)
Mn (0.250, 0.000, 0.250)
Se (0.131, 0.761, 0.891)
Mn (0.500, 0.000, 0.000)
Pd (0.062, 0.625, 0.688)
Se (0.869, 0.239, 0.109)
Mn (0.000, 0.500, 0.000)
Se (0.859, 0.218, 0.620)
Se (0.369, 0.239, 0.609)
Se (0.641, 0.782, 0.880)
Se (0.631, 0.761, 0.391)
Se (0.141, 0.782, 0.380)
Se (0.859, 0.761, 0.620)
Mn (0.500, 0.500, 0.500)
Se (0.359, 0.761, 0.120)

Computed properties:
Symmetry: Fd-3m
V in Å³/f.u.: 145
Formation energy from raw total energies in eV/atom: -0.43


Entry 11:
Below is crystalline MnPd3Se at its relaxed geometry, with properties calculated at the PBE level.

Cell: 4.566 4.566 4.566 Å, 90.00 90.00 90.00°
Element x y z (fractional)
Se (0.500, 0.500, 0.500)
Mn (0.000, 0.000, 0.000)
Pd (0.000, 0.000, 0.500)
Pd (0.000, 0.500, 0.000)
Pd (0.500, 0.000, 0.000)

Computed properties:
Symmetry: Pm-3m
Energy relative to the lowest polymorph listed for this composition in meV per atom: 681.3
V in Å³/f.u.: 95
Formation energy from raw total energies in eV/atom: 0.92


Entry 12:
Below is crystalline MnPdSe at its relaxed geometry, with properties calculated at the PBE level.

Cell: 4.326 4.326 4.326 Å, 60.00 60.00 60.00°
Element x y z (fractional)
Se (0.000, 0.000, 0.000)
Mn (0.500, 0.500, 0.500)
Pd (0.250, 0.250, 0.250)

Computed properties:
Symmetry: F-43m
Energy relative to the lowest polymorph listed for this composition in meV per atom: 0.0
V in Å³/f.u.: 57
Formation energy from raw total energies in eV/atom: -0.16


Entry 13:
Below is crystalline MnPd5Se4 at its relaxed geometry, with properties calculated at the PBE level.

Cell: 3.498 7.238 7.662 Å, 96.32 103.19 90.00°
Element x y z (fractional)
Pd (0.784, 0.383, 0.567)
Se (0.068, 0.735, 0.136)
Pd (0.897, 0.721, 0.793)
Mn (0.500, 0.000, 0.000)
Se (0.675, 0.107, 0.349)
Pd (0.216, 0.617, 0.433)
Pd (0.103, 0.279, 0.207)
Se (0.325, 0.893, 0.651)
Se (0.932, 0.265, 0.864)
Pd (0.500, 0.500, 0.000)

Computed properties:
Symmetry: C2/m
V in Å³/f.u.: 188
Formation energy from raw total energies in eV/atom: -0.16


Entry 14:
Below is crystalline Mn2Pd2Se3 at its relaxed geometry, with properties calculated at the PBE level.

Cell: 6.695 6.875 6.718 Å, 90.00 65.24 90.00°
Element x y z (fractional)
Se (0.145, 0.505, 0.674)
Se (0.645, 0.995, 0.674)
Pd (0.985, 0.835, 0.366)
Se (0.355, 0.005, 0.326)
Mn (0.148, 0.334, 0.004)
Se (0.000, 0.000, 0.000)
Pd (0.485, 0.665, 0.366)
Se (0.855, 0.495, 0.326)
Pd (0.515, 0.335, 0.634)
Mn (0.852, 0.666, 0.996)
Se (0.500, 0.500, 0.000)
Pd (0.015, 0.165, 0.634)
Mn (0.648, 0.166, 0.004)
Mn (0.352, 0.834, 0.996)

Computed properties:
Symmetry: P2_1/c
V in Å³/f.u.: 140
Formation energy from raw total energies in eV/atom: -0.20


Entry 15:
Below is crystalline MnPd2Se at its relaxed geometry, with properties calculated at the PBE level.

Cell: 4.505 4.505 4.505 Å, 60.00 60.00 60.00°
Element x y z (fractional)
Pd (0.750, 0.750, 0.750)
Mn (0.000, 0.000, 0.000)
Se (0.500, 0.500, 0.500)
Pd (0.250, 0.250, 0.250)

Computed properties:
Symmetry: Fm-3m
Energy relative to the lowest polymorph listed for this composition in meV per atom: 62.6
V in Å³/f.u.: 65
Formation energy from raw total energies in eV/atom: -0.09


Entry 16:
Below is crystalline MnPd3Se6 at its relaxed geometry, with properties calculated at the PBE level.

Cell: 6.187 8.336 8.175 Å, 45.09 48.70 56.90°
Element x y z (fractional)
Se (0.789, 0.381, 0.693)
Pd (0.500, 0.000, 0.500)
Se (0.498, 0.086, 0.736)
Se (0.890, 0.241, 0.133)
Pd (0.500, 0.500, 0.000)
Pd (0.500, 0.500, 0.500)
Mn (0.000, 0.000, 0.000)
Se (0.110, 0.759, 0.867)
Se (0.211, 0.619, 0.307)
Se (0.502, 0.914, 0.264)

Computed properties:
Symmetry: P-1
Energy relative to the lowest polymorph listed for this composition in meV per atom: 0.0
V in Å³/f.u.: 222
Formation energy from raw total energies in eV/atom: -0.27


Entry 17:
Below is crystalline MnPd2Se at its relaxed geometry, with properties calculated at the PBE level.

Cell: 3.774 4.137 4.137 Å, 90.00 90.00 90.00°
Element x y z (fractional)
Pd (0.000, 0.500, 0.000)
Se (0.500, 0.500, 0.500)
Mn (0.500, 0.000, 0.000)
Pd (0.000, 0.000, 0.500)

Computed properties:
Symmetry: P4/mmm
Energy relative to the lowest polymorph listed for this composition in meV per atom: 28.8
V in Å³/f.u.: 65
Formation energy from raw total energies in eV/atom: -0.12


Entry 18:
Below is crystalline MnPdSe3 at its relaxed geometry, with properties calculated at the PBE level.

Cell: 6.455 6.455 6.703 Å, 61.21 61.21 60.00°
Element x y z (fractional)
Se (0.937, 0.566, 0.238)
Mn (0.340, 0.340, 0.981)
Se (0.063, 0.434, 0.762)
Se (0.259, 0.937, 0.238)
Se (0.434, 0.741, 0.762)
Se (0.566, 0.259, 0.238)
Pd (0.155, 0.155, 0.536)
Mn (0.660, 0.660, 0.019)
Se (0.741, 0.063, 0.762)
Pd (0.845, 0.845, 0.464)

Computed properties:
Symmetry: R-3
Energy relative to the lowest polymorph listed for this composition in meV per atom: 0.0
V in Å³/f.u.: 101
Formation energy from raw total energies in eV/atom: -0.34


Entry 19:
Below is crystalline MnPdSe at its relaxed geometry, with properties calculated at the PBE level.

Cell: 3.414 3.414 4.915 Å, 110.32 110.32 90.00°
Element x y z (fractional)
Mn (0.626, 0.626, 0.253)
Se (0.265, 0.265, 0.530)
Pd (0.959, 0.959, 0.918)

Computed properties:
Symmetry: I4mm
Energy relative to the lowest polymorph listed for this composition in meV per atom: 34.9
V in Å³/f.u.: 50
Formation energy from raw total energies in eV/atom: -0.13


Entry 20:
Below is crystalline MnPdSe at its relaxed geometry, with properties calculated at the PBE level.

Cell: 3.150 4.436 10.344 Å, 131.25 90.00 110.79°
Element x y z (fractional)
Pd (0.784, 0.568, 0.413)
Mn (0.887, 0.774, 0.867)
Pd (0.216, 0.432, 0.587)
Se (0.109, 0.218, 0.784)
Mn (0.113, 0.226, 0.133)
Se (0.891, 0.782, 0.216)

Computed properties:
Symmetry: C2/m
Energy relative to the lowest polymorph listed for this composition in meV per atom: 246.7
V in Å³/f.u.: 48
Formation energy from raw total energies in eV/atom: 0.08